(1)
PuUFe2: optimized geometry, PBE-GGA.

POSCAR file:
```
PuUFe2
1.0
4.503 0.000 0.000
0.000 4.503 0.000
0.000 0.000 3.462
Pu U Fe
1 1 2
Cartesian
0.000 0.000 0.000
2.251 2.251 0.000
0.000 2.251 1.731
2.251 0.000 1.731
```

Summary:
For the formation enthalpy at 0 K, the calculation gives 142.2 meV per atom.

=====

(2)
PuUFe2: optimized geometry, PBE-GGA.

POSCAR file:
```
PuUFe2
1.0
3.239 0.000 0.000
0.000 3.239 0.000
0.000 0.000 6.758
Pu U Fe
1 1 2
Cartesian
0.000 0.000 0.000
0.000 0.000 3.379
1.620 1.620 2.019
1.620 1.620 4.739
```

Summary:
For the formation enthalpy at 0 K, the calculation gives 84.4 meV per atom.

=====

(3)
PuUZnFe: optimized geometry, PBE-GGA.

POSCAR file:
```
PuUZnFe
1.0
0.000 3.253 3.253
3.253 0.000 3.253
3.253 3.253 0.000
Pu U Zn Fe
1 1 1 1
Cartesian
0.000 0.000 0.000
1.626 1.626 1.626
4.879 4.879 4.879
3.253 3.253 3.253
```

Summary:
For the formation enthalpy at 0 K, the calculation gives 42.7 meV per atom.

=====

(4)
Pu2VFe: optimized geometry, PBE-GGA.

POSCAR file:
```
Pu2VFe
1.0
0.000 3.322 3.322
3.322 0.000 3.322
3.322 3.322 0.000
Pu V Fe
2 1 1
Cartesian
1.661 1.661 1.661
4.984 4.984 4.984
0.000 0.000 0.000
3.322 3.322 3.322
```

Summary:
The calculation puts the energy relative to the lowest polymorph listed for this composition at 33 meV per atom. For the formation enthalpy at 0 K, the calculation gives 302.5 meV per atom.

=====

(5)
Pu2VFe: optimized geometry, PBE-GGA.

POSCAR file:
```
Pu2VFe
1.0
3.469 0.000 0.000
0.000 3.469 0.000
0.000 0.000 5.028
Pu V Fe
2 1 1
Cartesian
0.000 1.734 0.000
1.734 0.000 0.000
0.000 0.000 2.514
1.734 1.734 2.514
```

Summary:
The calculation puts the energy relative to the lowest polymorph listed for this composition at 162 meV per atom. For the formation enthalpy at 0 K, the calculation gives 431.3 meV per atom.

=====

(6)
Pu2VFe: optimized geometry, PBE-GGA.

POSCAR file:
```
Pu2VFe
1.0
3.410 0.000 0.000
0.000 3.410 0.000
0.000 0.000 6.400
Pu V Fe
2 1 1
Cartesian
0.000 0.000 1.521
0.000 0.000 4.879
1.705 1.705 3.200
1.705 1.705 0.000
```

Summary:
The calculation puts the energy relative to the lowest polymorph listed for this composition at 0 meV per atom. For the formation enthalpy at 0 K, the calculation gives 269.3 meV per atom.

=====

(7)
Pu2VFe: optimized geometry, PBE-GGA.

POSCAR file:
```
Pu2VFe
1.0
1.347 0.778 10.152
-1.347 0.778 10.152
0.000 -1.555 10.152
Pu V Fe
2 1 1
Cartesian
0.000 0.000 2.569
0.000 0.000 27.887
0.000 0.000 0.000
0.000 0.000 15.228
```

Summary:
The calculation puts the energy relative to the lowest polymorph listed for this composition at 356 meV per atom. For the formation enthalpy at 0 K, the calculation gives 625.0 meV per atom.

=====

(8)
PuFe4W: optimized geometry, PBE-GGA.

POSCAR file:
```
PuFe4W
1.0
0.000 3.452 3.452
3.452 0.000 3.452
3.452 3.452 0.000
Pu Fe W
1 4 1
Cartesian
0.000 0.000 0.000
2.594 2.594 2.594
4.311 4.311 2.594
4.311 2.594 4.311
2.594 4.311 4.311
5.178 5.178 5.178
```

Summary:
For the formation enthalpy at 0 K, the calculation gives 128.6 meV per atom.

=====

(9)
Y3Pu2Fe4: optimized geometry, PBE-GGA.

POSCAR file:
```
Y3Pu2Fe4
1.0
5.418 -2.007 0.000
5.418 2.007 0.000
-1.940 0.000 8.251
Y Pu Fe
3 2 4
Cartesian
0.000 0.000 0.000
2.869 0.000 5.104
6.026 0.000 3.148
3.122 0.000 1.804
5.773 0.000 6.447
-0.299 0.000 5.228
1.147 0.000 7.507
7.747 0.000 0.744
9.194 0.000 3.024
```

Summary:
For the formation enthalpy at 0 K, the calculation gives -122.3 meV per atom.

=====

(10)
YPuFe: optimized geometry, PBE-GGA.

POSCAR file:
```
YPuFe
1.0
6.750 0.000 0.000
0.000 6.445 0.000
-4.101 0.000 6.491
Y Pu Fe
4 4 4
Cartesian
-0.533 1.123 2.638
-2.584 2.100 5.883
5.232 4.345 0.608
3.182 5.322 3.853
-0.293 4.393 4.009
1.758 5.275 0.764
0.890 1.170 5.727
2.941 2.052 2.482
0.982 3.551 2.049
-1.069 6.116 5.295
3.717 0.329 1.196
1.666 2.894 4.442
```

Summary:
The calculation puts the energy relative to the lowest polymorph listed for this composition at 8 meV per atom. For the formation enthalpy at 0 K, the calculation gives -1.4 meV per atom.

=====

(11)
YPuFe: optimized geometry, PBE-GGA.

POSCAR file:
```
YPuFe
1.0
-1.729 1.729 5.546
1.729 -1.729 5.546
1.729 1.729 -5.546
Y Pu Fe
1 1 1
Cartesian
0.000 0.000 0.000
0.000 0.000 3.132
0.000 0.000 7.574
```

Summary:
The calculation puts the energy relative to the lowest polymorph listed for this composition at 107 meV per atom. For the formation enthalpy at 0 K, the calculation gives 97.5 meV per atom.

=====

(12)
YPu3Fe: optimized geometry, PBE-GGA.

POSCAR file:
```
YPu3Fe
1.0
5.135 0.000 0.000
0.000 5.135 0.000
0.000 0.000 5.135
Y Pu Fe
1 3 1
Cartesian
0.000 0.000 0.000
0.000 2.568 2.568
2.568 0.000 2.568
2.568 2.568 0.000
2.568 2.568 2.568
```

Summary:
For the formation enthalpy at 0 K, the calculation gives 232.4 meV per atom.

=====

(13)
YPuFe: optimized geometry, PBE-GGA.

POSCAR file:
```
YPuFe
1.0
6.036 -1.928 0.000
6.036 1.928 0.000
-0.623 0.000 5.951
Y Pu Fe
2 2 2
Cartesian
1.483 0.000 2.117
9.966 0.000 3.833
4.774 0.000 0.849
6.675 0.000 5.101
2.134 0.000 5.100
9.315 0.000 0.850
```

Summary:
The calculation puts the energy relative to the lowest polymorph listed for this composition at 0 meV per atom. For the formation enthalpy at 0 K, the calculation gives -9.4 meV per atom.

=====

(14)
YPu2Fe: optimized geometry, PBE-GGA.

POSCAR file:
```
YPu2Fe
1.0
2.161 1.248 5.542
-2.161 1.248 5.542
0.000 -2.495 5.542
Y Pu Fe
1 2 1
Cartesian
0.000 0.000 0.000
0.000 0.000 3.109
0.000 0.000 13.516
0.000 0.000 8.313
```

Summary:
The calculation puts the energy relative to the lowest polymorph listed for this composition at 426 meV per atom. For the formation enthalpy at 0 K, the calculation gives 564.3 meV per atom.

=====

(15)
YPu2Fe: optimized geometry, PBE-GGA.

POSCAR file:
```
YPu2Fe
1.0
3.305 0.000 0.000
0.000 3.305 0.000
0.000 0.000 8.788
Y Pu Fe
1 2 1
Cartesian
0.000 0.000 0.000
1.652 1.652 2.731
1.652 1.652 6.056
0.000 0.000 4.394
```

Summary:
The calculation puts the energy relative to the lowest polymorph listed for this composition at 0 meV per atom. For the formation enthalpy at 0 K, the calculation gives 138.6 meV per atom.

=====

(16)
PuZnFe: optimized geometry, PBE-GGA.

POSCAR file:
```
PuZnFe
1.0
-1.550 1.550 5.435
1.550 -1.550 5.435
1.550 1.550 -5.435
Pu Zn Fe
1 1 1
Cartesian
0.000 0.000 0.000
0.000 0.000 3.129
0.000 0.000 7.174
```

Summary:
For the formation enthalpy at 0 K, the calculation gives 40.7 meV per atom.

=====

(17)
Pu2ZnFe: optimized geometry, PBE-GGA.

POSCAR file:
```
Pu2ZnFe
1.0
1.329 0.768 11.414
-1.329 0.768 11.414
0.000 -1.535 11.414
Pu Zn Fe
2 1 1
Cartesian
0.000 0.000 3.131
0.000 0.000 31.111
0.000 0.000 0.000
0.000 0.000 17.121
```

Summary:
The calculation puts the energy relative to the lowest polymorph listed for this composition at 485 meV per atom. For the formation enthalpy at 0 K, the calculation gives 478.2 meV per atom.

=====

(18)
PuZn11Fe: optimized geometry, PBE-GGA.

POSCAR file:
```
PuZn11Fe
1.0
2.540 -6.318 0.000
2.540 6.318 0.000
-2.473 0.000 6.343
Pu Zn Fe
1 11 1
Cartesian
0.000 0.000 0.000
-1.237 0.000 3.172
1.270 3.159 0.000
0.106 2.170 2.272
0.081 1.365 4.943
0.106 -2.170 2.272
2.525 1.365 1.400
1.270 -3.159 0.000
0.081 -1.365 4.943
2.501 2.170 4.071
2.525 -1.365 1.400
2.501 -2.170 4.071
1.303 0.000 3.172
```

Summary:
For the formation enthalpy at 0 K, the calculation gives -73.4 meV per atom.

=====

(19)
Pu2Zn3Fe: optimized geometry, PBE-GGA.

POSCAR file:
```
Pu2Zn3Fe
1.0
4.471 -2.587 0.000
4.471 2.587 0.000
-2.986 0.000 4.666
Pu Zn Fe
2 3 1
Cartesian
-0.003 0.000 1.896
5.959 0.000 2.770
2.236 1.294 0.000
2.236 -1.294 0.000
4.471 0.000 0.000
2.978 0.000 2.333
```

Summary:
For the formation enthalpy at 0 K, the calculation gives -79.1 meV per atom.

=====

(20)
PuZnFe4: optimized geometry, PBE-GGA.

POSCAR file:
```
PuZnFe4
1.0
0.000 3.469 3.469
3.469 0.000 3.469
3.469 3.469 0.000
Pu Zn Fe
1 1 4
Cartesian
0.000 0.000 0.000
5.204 5.204 5.204
2.605 2.605 2.605
4.333 4.333 2.605
4.333 2.605 4.333
2.605 4.333 4.333
```

Summary:
For the formation enthalpy at 0 K, the calculation gives 197.6 meV per atom.